{
  "formula": "Pm7Er3Tm",
  "functional": "PBE",
  "state": "relaxed",
  "de_polymorph_mev_per_atom": 117,
  "dos_ef_per_ev_cell": 14.37,
  "sg": "C2/m",
  "formation_enthalpy_0k_ev_per_atom": 0.237,
  "cell": [[6.363, -5.647, 0.000], [6.363, 5.647, 0.000], [-2.690, 0.000, 5.205]],
  "species": ["Pm", "Pm", "Pm", "Pm", "Pm", "Pm", "Pm", "Er", "Er", "Er", "Tm"],
  "frac_coords": [[0.000, 0.000, 0.000], [0.097, 0.519, 0.308], [0.291, 0.291, 0.793], [0.481, 0.903, 0.692], [0.519, 0.097, 0.308], [0.709, 0.709, 0.207], [0.903, 0.481, 0.692], [0.295, 0.705, 0.000], [0.500, 0.500, 0.500], [0.705, 0.295, 0.000], [0.000, 0.000, 0.500]]
}


{
  "formula": "Ag3SnSe",
  "functional": "PBE",
  "state": "relaxed",
  "de_polymorph_mev_per_atom": 333,
  "e_form_raw_mev_per_atom": 720,
  "dos_ef_per_ev_cell": 9.27,
  "sg": "Pm-3m",
  "cell": [[5.219, 0.000, 0.000], [0.000, 5.219, 0.000], [0.000, 0.000, 5.219]],
  "species": ["Ag", "Ag", "Ag", "Sn", "Se"],
  "frac_coords": [[0.000, 0.000, 0.500], [0.000, 0.500, 0.000], [0.500, 0.000, 0.000], [0.000, 0.000, 0.000], [0.500, 0.500, 0.500]]
}


{
  "formula": "TaNbTeRh2",
  "functional": "PBE",
  "state": "relaxed",
  "e_form_raw_mev_per_atom": 1006,
  "dos_ef_per_ev_cell": 4.41,
  "sg": "P4/mmm",
  "cell": [[4.761, 0.000, 0.000], [0.000, 4.761, 0.000], [0.000, 0.000, 4.978]],
  "species": ["Ta", "Nb", "Te", "Rh", "Rh"],
  "frac_coords": [[0.000, 0.000, 0.000], [0.000, 0.000, 0.500], [0.500, 0.500, 0.500], [0.000, 0.500, 0.000], [0.500, 0.000, 0.000]]
}


{
  "formula": "TbHfNi",
  "functional": "PBE",
  "state": "relaxed",
  "de_polymorph_mev_per_atom": 0,
  "dos_ef_per_ev_cell": 12.52,
  "sg": "Pbcm",
  "formation_enthalpy_0k_ev_per_atom": -0.324,
  "cell": [[6.411, 0.000, 0.000], [0.000, 6.378, 0.000], [0.000, 0.000, 6.378]],
  "species": ["Tb", "Tb", "Tb", "Tb", "Hf", "Hf", "Hf", "Hf", "Ni", "Ni", "Ni", "Ni"],
  "frac_coords": [[0.119, 0.001, 0.250], [0.119, 0.499, 0.750], [0.881, 0.501, 0.250], [0.881, 0.999, 0.750], [0.500, 0.250, 0.000], [0.500, 0.250, 0.500], [0.500, 0.750, 0.000], [0.500, 0.750, 0.500], [0.302, 0.000, 0.750], [0.302, 0.500, 0.250], [0.698, 0.000, 0.250], [0.698, 0.500, 0.750]]
}


{
  "formula": "ZnIn3",
  "functional": "PBE",
  "state": "relaxed",
  "dos_ef_per_ev_cell": 4.27,
  "sg": "Pm-3n",
  "formation_enthalpy_0k_ev_per_atom": 0.127,
  "cell": [[5.850, 0.000, 0.000], [0.000, 5.850, 0.000], [0.000, 0.000, 5.850]],
  "species": ["Zn", "Zn", "In", "In", "In", "In", "In", "In"],
  "frac_coords": [[0.000, 0.000, 0.000], [0.500, 0.500, 0.500], [0.000, 0.250, 0.500], [0.000, 0.750, 0.500], [0.250, 0.500, 0.000], [0.500, 0.000, 0.250], [0.500, 0.000, 0.750], [0.750, 0.500, 0.000]]
}


{
  "formula": "Sc2AlTlH",
  "functional": "PBE",
  "state": "relaxed",
  "dft_energy_ev_per_cell": -23.34,
  "dos_ef_per_ev_cell": 2.46,
  "sg": "P4/mmm",
  "cell": [[4.404, 0.000, 0.000], [0.000, 4.404, 0.000], [0.000, 0.000, 4.408]],
  "species": ["Sc", "Sc", "Al", "Tl", "H"],
  "frac_coords": [[0.000, 0.500, 0.000], [0.500, 0.000, 0.000], [0.000, 0.000, 0.500], [0.500, 0.500, 0.500], [0.000, 0.000, 0.000]]
}


{
  "formula": "CdPd2Se",
  "functional": "PBE",
  "state": "relaxed",
  "e_form_raw_mev_per_atom": -127,
  "dos_ef_per_ev_cell": 0.04,
  "sg": "I-42d",
  "cell": [[-2.150, 2.150, 8.598], [2.150, -2.150, 8.598], [2.150, 2.150, -8.598]],
  "species": ["Cd", "Cd", "Pd", "Pd", "Pd", "Pd", "Se", "Se"],
  "frac_coords": [[0.000, 0.000, 0.000], [0.750, 0.250, 0.500], [0.170, 0.625, 0.045], [0.375, 0.420, 0.545], [0.580, 0.125, 0.955], [0.875, 0.830, 0.455], [0.250, 0.750, 0.500], [0.500, 0.500, 0.000]]
}


{
  "formula": "ErIn2Pd5",
  "functional": "PBE",
  "state": "relaxed",
  "dos_ef_per_ev_cell": 4.68,
  "sg": "I4/mmm",
  "formation_enthalpy_0k_ev_per_atom": -0.686,
  "cell": [[-2.134, 2.134, 7.750], [2.134, -2.134, 7.750], [2.134, 2.134, -7.750]],
  "species": ["Er", "In", "In", "Pd", "Pd", "Pd", "Pd", "Pd"],
  "frac_coords": [[0.000, 0.000, 0.000], [0.255, 0.255, 0.000], [0.745, 0.745, 0.000], [0.129, 0.629, 0.500], [0.371, 0.871, 0.500], [0.500, 0.500, 0.000], [0.629, 0.129, 0.500], [0.871, 0.371, 0.500]]
}


{
  "formula": "Ni2OsPb",
  "functional": "PBE",
  "state": "relaxed",
  "dos_ef_per_ev_cell": 4.10,
  "sg": "I4/mmm",
  "formation_enthalpy_0k_ev_per_atom": 0.582,
  "cell": [[-2.030, 2.030, 3.582], [2.030, -2.030, 3.582], [2.030, 2.030, -3.582]],
  "species": ["Ni", "Ni", "Os", "Pb"],
  "frac_coords": [[0.250, 0.750, 0.500], [0.750, 0.250, 0.500], [0.000, 0.000, 0.000], [0.500, 0.500, 0.000]]
}


{
  "formula": "SrLi2Pb",
  "functional": "PBE",
  "state": "relaxed",
  "dos_ef_per_ev_cell": 2.93,
  "sg": "P4mm",
  "formation_enthalpy_0k_ev_per_atom": -0.218,
  "cell": [[3.817, 0.000, 0.000], [0.000, 3.817, 0.000], [0.000, 0.000, 7.863]],
  "species": ["Sr", "Li", "Li", "Pb"],
  "frac_coords": [[0.000, 0.000, 0.000], [0.000, 0.000, 0.525], [0.500, 0.500, 0.338], [0.500, 0.500, 0.708]]
}


{
  "formula": "HoThPd3",
  "functional": "PBE",
  "state": "relaxed",
  "de_polymorph_mev_per_atom": 0,
  "dos_ef_per_ev_cell": 5.05,
  "sg": "Pmmn",
  "formation_enthalpy_0k_ev_per_atom": -0.843,
  "cell": [[4.270, 0.000, 0.000], [0.000, 5.810, 0.000], [0.000, 0.000, 8.985]],
  "species": ["Ho", "Ho", "Th", "Th", "Pd", "Pd", "Pd", "Pd", "Pd", "Pd"],
  "frac_coords": [[0.250, 0.250, 0.051], [0.750, 0.750, 0.949], [0.250, 0.750, 0.389], [0.750, 0.250, 0.611], [0.250, 0.250, 0.374], [0.250, 0.508, 0.777], [0.250, 0.992, 0.777], [0.750, 0.008, 0.223], [0.750, 0.492, 0.223], [0.750, 0.750, 0.626]]
}


{
  "formula": "CdTc2Ru",
  "functional": "PBE",
  "state": "relaxed",
  "dos_ef_per_ev_cell": 3.34,
  "sg": "Immm",
  "formation_enthalpy_0k_ev_per_atom": 0.425,
  "cell": [[-1.578, 2.182, 4.529], [1.578, -2.182, 4.529], [1.578, 2.182, -4.529]],
  "species": ["Cd", "Tc", "Tc", "Ru"],
  "frac_coords": [[0.000, 0.000, 0.000], [0.257, 0.757, 0.500], [0.743, 0.243, 0.500], [0.500, 0.500, 0.000]]
}


{
  "formula": "TiSnBi2W",
  "functional": "PBE",
  "state": "relaxed",
  "dos_ef_per_ev_cell": 10.08,
  "sg": "P4/mmm",
  "formation_enthalpy_0k_ev_per_atom": 1.813,
  "cell": [[5.685, 0.000, 0.000], [0.000, 5.685, 0.000], [0.000, 0.000, 5.071]],
  "species": ["Ti", "Sn", "Bi", "Bi", "W"],
  "frac_coords": [[0.000, 0.000, 0.000], [0.500, 0.500, 0.500], [0.000, 0.500, 0.500], [0.500, 0.000, 0.500], [0.500, 0.500, 0.000]]
}


{
  "formula": "Ba3Cr4",
  "functional": "PBE",
  "state": "relaxed",
  "dos_ef_per_ev_cell": 7.98,
  "sg": "P6/mmm",
  "formation_enthalpy_0k_ev_per_atom": 1.357,
  "cell": [[7.934, 0.000, 0.000], [-3.967, 6.871, 0.000], [0.000, 0.000, 4.819]],
  "species": ["Ba", "Ba", "Ba", "Cr", "Cr", "Cr", "Cr"],
  "frac_coords": [[0.000, 0.500, 0.000], [0.500, 0.000, 0.000], [0.500, 0.500, 0.000], [0.000, 0.000, 0.182], [0.000, 0.000, 0.818], [0.333, 0.667, 0.500], [0.667, 0.333, 0.500]]
}


{
  "formula": "PmThRuRh",
  "functional": "PBE",
  "state": "relaxed",
  "dos_ef_per_ev_cell": 2.60,
  "sg": "F-43m",
  "formation_enthalpy_0k_ev_per_atom": -0.514,
  "cell": [[0.000, 3.536, 3.536], [3.536, 0.000, 3.536], [3.536, 3.536, 0.000]],
  "species": ["Pm", "Th", "Ru", "Rh"],
  "frac_coords": [[0.000, 0.000, 0.000], [0.500, 0.500, 0.500], [0.250, 0.250, 0.250], [0.750, 0.750, 0.750]]
}


{
  "formula": "ReBr4",
  "functional": "PBE",
  "state": "relaxed",
  "de_polymorph_mev_per_atom": 0,
  "e_form_raw_mev_per_atom": 121,
  "dos_ef_per_ev_cell": 2.28,
  "sg": "Ibam",
  "cell": [[-3.637, 7.037, 3.149], [3.637, -7.037, 3.149], [3.637, 7.037, -3.149]],
  "species": ["Re", "Re", "Br", "Br", "Br", "Br", "Br", "Br", "Br", "Br"],
  "frac_coords": [[0.250, 0.250, 0.000], [0.750, 0.750, 0.000], [0.104, 0.205, 0.309], [0.114, 0.783, 0.897], [0.386, 0.283, 0.669], [0.396, 0.705, 0.101], [0.604, 0.295, 0.899], [0.614, 0.717, 0.331], [0.886, 0.217, 0.103], [0.896, 0.795, 0.691]]
}


{
  "formula": "La3Er3Th2",
  "functional": "PBE",
  "state": "relaxed",
  "de_polymorph_mev_per_atom": 0,
  "dos_ef_per_ev_cell": 11.69,
  "sg": "Immm",
  "formation_enthalpy_0k_ev_per_atom": 0.038,
  "cell": [[-2.520, 2.561, 10.353], [2.520, -2.561, 10.353], [2.520, 2.561, -10.353]],
  "species": ["La", "La", "La", "Er", "Er", "Er", "Th", "Th"],
  "frac_coords": [[0.000, 0.000, 0.000], [0.371, 0.871, 0.500], [0.629, 0.129, 0.500], [0.129, 0.629, 0.500], [0.500, 0.500, 0.000], [0.871, 0.371, 0.500], [0.249, 0.249, 0.000], [0.751, 0.751, 0.000]]
}


{
  "formula": "Pm3GeI2",
  "functional": "PBE",
  "state": "relaxed",
  "e_form_raw_mev_per_atom": -918,
  "dos_ef_per_ev_cell": 6.99,
  "sg": "C2/c",
  "cell": [[4.061, -6.502, 0.000], [4.061, 6.502, 0.000], [-2.411, 0.000, 7.009]],
  "species": ["Pm", "Pm", "Pm", "Pm", "Pm", "Pm", "Ge", "Ge", "I", "I", "I", "I"],
  "frac_coords": [[0.000, 0.500, 0.000], [0.116, 0.260, 0.480], [0.260, 0.116, 0.980], [0.500, 0.000, 0.500], [0.740, 0.884, 0.020], [0.884, 0.740, 0.520], [0.100, 0.900, 0.250], [0.900, 0.100, 0.750], [0.273, 0.727, 0.750], [0.430, 0.570, 0.250], [0.570, 0.430, 0.750], [0.727, 0.273, 0.250]]
}


{
  "formula": "KBaNdCl6",
  "functional": "PBE",
  "state": "relaxed",
  "e_form_raw_mev_per_atom": -2285,
  "dos_ef_per_ev_cell": 0.00,
  "sg": "P-31c",
  "cell": [[7.647, 0.000, 0.000], [-3.823, 6.622, 0.000], [0.000, 0.000, 12.895]],
  "species": ["K", "K", "Ba", "Ba", "Nd", "Nd", "Cl", "Cl", "Cl", "Cl", "Cl", "Cl", "Cl", "Cl", "Cl", "Cl", "Cl", "Cl"],
  "frac_coords": [[0.333, 0.667, 0.250], [0.667, 0.333, 0.750], [0.000, 0.000, 0.000], [0.000, 0.000, 0.500], [0.333, 0.667, 0.750], [0.667, 0.333, 0.250], [0.040, 0.363, 0.630], [0.040, 0.677, 0.870], [0.323, 0.363, 0.870], [0.323, 0.960, 0.630], [0.363, 0.040, 0.130], [0.363, 0.323, 0.370], [0.637, 0.677, 0.630], [0.637, 0.960, 0.870], [0.677, 0.040, 0.370], [0.677, 0.637, 0.130], [0.960, 0.323, 0.130], [0.960, 0.637, 0.370]]
}


{
  "formula": "ScCoSN2",
  "functional": "PBE",
  "state": "relaxed",
  "de_polymorph_mev_per_atom": 0,
  "e_form_raw_mev_per_atom": 127,
  "dos_ef_per_ev_cell": 3.19,
  "sg": "P4/mmm",
  "cell": [[3.691, 0.000, 0.000], [0.000, 3.691, 0.000], [0.000, 0.000, 4.616]],
  "species": ["Sc", "Co", "S", "N", "N"],
  "frac_coords": [[0.000, 0.000, 0.000], [0.500, 0.500, 0.500], [0.500, 0.500, 0.000], [0.000, 0.500, 0.500], [0.500, 0.000, 0.500]]
}